Record 1
Below is a relaxed structure of La2SmGaSe5, with properties calculated at the PBE-GGA level.

Cell and atoms, written as POSCAR:
```
La2SmGaSe5
1.0
4.1436 0.0000 0.0000
-2.0718 9.0151 0.0000
0.0000 0.0000 12.7252
Se La Sm Ga
10 4 2 2
Direct
0.7061 0.4122 0.8256 Se
0.9739 0.9478 0.5843 Se
0.5095 0.0190 0.7954 Se
0.4905 0.9810 0.2954 Se
0.3032 0.6064 0.6621 Se
0.2939 0.5878 0.3256 Se
0.0261 0.0522 0.0843 Se
0.3502 0.7004 0.9979 Se
0.6968 0.3936 0.1621 Se
0.6498 0.2996 0.4979 Se
0.8793 0.7586 0.8045 La
0.8701 0.7402 0.1804 La
0.1299 0.2598 0.6804 La
0.1207 0.2414 0.3045 La
0.8128 0.6256 0.4961 Sm
0.1872 0.3744 0.9961 Sm
0.4355 0.8710 0.4777 Ga
0.5645 0.1290 0.9777 Ga
```

Summary:
Theoretical density (Mg/m³): 6.24
SG: Cmc2_1 (36)
Formation energy without anion corrections (eV/atom): -1.62
Raw total energy (eV per formula unit): -49.6

---

Record 2
Below is a relaxed structure of La2GaSnSe5, with properties calculated at the PBE-GGA level.

Cell and atoms, written as POSCAR:
```
La2GaSnSe5
1.0
-0.7576 -0.7830 -4.1458
9.2781 -1.3003 0.7662
-1.8726 -11.8420 2.5787
Se La Ga Sn
10 4 2 2
Direct
0.3666 0.7332 0.9979 Se
0.3209 0.6418 0.3451 Se
0.6791 0.3582 0.8451 Se
0.4965 0.9930 0.7744 Se
0.2842 0.5683 0.6814 Se
0.6334 0.2668 0.4979 Se
0.5035 0.0070 0.2744 Se
0.0440 0.0879 0.0645 Se
0.7158 0.4317 0.1814 Se
0.9560 0.9121 0.5645 Se
0.8742 0.7483 0.8063 La
0.1258 0.2517 0.3063 La
0.1115 0.2230 0.6816 La
0.8885 0.7770 0.1816 La
0.4421 0.8842 0.4572 Ga
0.5579 0.1158 0.9572 Ga
0.7903 0.5806 0.5156 Sn
0.2097 0.4194 0.0156 Sn
```

Summary:
Theoretical density (Mg/m³): 5.94
SG: Cmc2_1 (36)
Formation energy without anion corrections (eV/atom): -1.25
Raw total energy (eV per formula unit): -45.6

---

Record 3
Below is a relaxed structure of Sr2LaGaSe5, with properties calculated at the PBE-GGA level.

Cell and atoms, written as POSCAR:
```
Sr2LaGaSe5
1.0
4.1976 0.0000 0.0000
-2.0988 9.6496 0.0000
0.0000 0.0000 12.8553
La Se Sr Ga
2 10 4 2
Direct
0.2063 0.4126 0.0265 La
0.7937 0.5874 0.5265 La
0.6429 0.2857 0.5079 Se
0.4976 0.9951 0.7668 Se
0.3221 0.6442 0.3600 Se
0.5024 0.0049 0.2668 Se
0.7033 0.4067 0.1861 Se
0.9584 0.9167 0.5373 Se
0.0416 0.0833 0.0373 Se
0.6779 0.3558 0.8600 Se
0.3571 0.7143 0.0079 Se
0.2967 0.5933 0.6861 Se
0.8817 0.7634 0.8280 Sr
0.1143 0.2286 0.6822 Sr
0.1183 0.2366 0.3280 Sr
0.8857 0.7714 0.1822 Sr
0.4429 0.8859 0.4291 Ga
0.5571 0.1141 0.9291 Ga
```

Summary:
Theoretical density (Mg/m³): 4.97
SG: Cmc2_1 (36)
Formation energy without anion corrections (eV/atom): -1.64
Raw total energy (eV per formula unit): -43.5

---

Record 4
Below is a relaxed structure of La3Tl3GaSe8, with properties calculated at the PBE-GGA level.

Cell and atoms, written as POSCAR:
```
La3Tl3GaSe8
1.0
-2.6031 8.0693 1.7032
-3.3958 -4.3195 -6.6769
-2.2989 -2.5155 8.3901
Se La Tl Ga
8 3 3 1
Direct
0.7841 0.0162 0.3001 Se
0.2159 0.4318 0.6998 Se
0.2323 0.0163 0.3001 Se
0.2159 0.9838 0.6999 Se
0.2610 0.5222 0.2831 Se
0.7390 0.4778 0.7169 Se
0.7841 0.5682 0.3002 Se
0.7677 0.9837 0.6999 Se
0.5000 0.5000 0.5000 La
0.5000 0.0000 0.5000 La
0.0000 0.5000 0.5000 La
0.5000 0.5000 0.0000 Tl
0.0000 0.0000 0.0000 Tl
0.0000 0.5000 0.0000 Tl
0.0000 0.0000 0.5000 Ga
```

Summary:
Theoretical density (Mg/m³): 5.87
SG: R-3m (166)
Formation energy without anion corrections (eV/atom): -1.14
Raw total energy (eV per formula unit): -69.9

---

Record 5
Below is a relaxed structure of LaTl2GaSe4, with properties calculated at the PBE-GGA level.

Cell and atoms, written as POSCAR:
```
LaTl2GaSe4
1.0
8.6999 -0.0549 -0.2721
-0.0610 8.6998 -0.2721
-4.4608 -4.4640 6.3916
Se Tl La Ga
8 4 2 2
Direct
0.7540 0.7439 0.5485 Se
0.2439 0.2540 0.0485 Se
0.2460 0.2561 0.4515 Se
0.7878 0.2440 0.0160 Se
0.7561 0.7460 0.9515 Se
0.2560 0.7122 0.4840 Se
0.2122 0.7560 0.9840 Se
0.7440 0.2878 0.5160 Se
0.0000 0.0000 0.5000 Tl
0.5000 0.0000 0.0000 Tl
0.5000 0.5000 0.0000 Tl
0.5000 0.0000 0.5000 Tl
0.0000 0.5000 0.5000 La
0.0000 0.5000 0.0000 La
0.0000 0.0000 0.0000 Ga
0.5000 0.5000 0.5000 Ga
```

Summary:
Theoretical density (Mg/m³): 6.70
SG: C2/c (15)
Formation energy without anion corrections (eV/atom): -0.83
Raw total energy (eV per formula unit): -33.3

---

Record 6
Below is a relaxed structure of La2TmGaSe5, with properties calculated at the PBE-GGA level.

Cell and atoms, written as POSCAR:
```
La2TmGaSe5
1.0
-0.8196 3.4724 2.1825
-7.5287 -1.3807 -4.6381
-4.6508 -7.1876 9.6889
Se Tm La Ga
10 2 4 2
Direct
0.6350 0.2699 0.4975 Se
0.7149 0.4298 0.1601 Se
0.0499 0.0998 0.0834 Se
0.2851 0.5702 0.6601 Se
0.6906 0.3813 0.8568 Se
0.3094 0.6187 0.3568 Se
0.9501 0.9002 0.5834 Se
0.5043 0.0085 0.2687 Se
0.4957 0.9915 0.7687 Se
0.3650 0.7301 0.9975 Se
0.2044 0.4087 0.0090 Tm
0.7956 0.5913 0.5090 Tm
0.1108 0.2215 0.6842 La
0.1321 0.2641 0.3022 La
0.8679 0.7359 0.8022 La
0.8892 0.7785 0.1842 La
0.5403 0.0807 0.9620 Ga
0.4597 0.9193 0.4620 Ga
```

Summary:
Theoretical density (Mg/m³): 6.43
SG: Cmc2_1 (36)
Formation energy without anion corrections (eV/atom): -1.57
Raw total energy (eV per formula unit): -48.9